Record 1
CuSiPt3 | PBE-GGA | relaxed

- space-group type = P2_1/c (14)
- formation energy without anion corrections (kcal/mol of atoms) = -9.33
- VASP energy (eV per atom) = -5.933
- V (Å³/cell) = 294.45
- energy above the most stable polymorph in this dataset (meV/atom) = 0

Geometry as POSCAR:
```
CuSiPt3
1.0
4.669 0.000 0.000
0.000 7.850 -0.749
0.000 -3.281 8.347
Cu Pt Si
4 12 4
Direct
0.103 0.544 0.373
0.397 0.044 0.873
0.603 0.956 0.127
0.897 0.456 0.627
0.375 0.321 0.700
0.407 0.651 0.651
0.742 0.578 0.954
0.593 0.349 0.349
0.907 0.849 0.849
0.242 0.922 0.546
0.625 0.679 0.300
0.875 0.179 0.800
0.758 0.078 0.454
0.093 0.151 0.151
0.125 0.821 0.200
0.258 0.422 0.046
0.249 0.149 0.408
0.751 0.851 0.592
0.749 0.351 0.092
0.251 0.649 0.908
```

Record 2
CuSiPt2 | PBE-GGA | relaxed

- space-group type = Pm (6)
- formation energy without anion corrections (kcal/mol of atoms) = -8.16
- VASP energy (eV per atom) = -5.754
- V (Å³/cell) = 55.97

Geometry as POSCAR:
```
CuSiPt2
1.0
4.066 0.000 0.000
0.000 2.870 -0.014
0.000 1.446 4.790
Pt Cu Si
2 1 1
Direct
0.000 0.967 0.943
0.500 0.282 0.310
0.500 0.553 0.770
0.000 0.698 0.477
```

Record 3
CuSiPt3 | PBE-GGA | relaxed

- space-group type = Pm-3m (221)
- formation energy without anion corrections (kcal/mol of atoms) = 6.92
- VASP energy (eV per atom) = -5.228
- V (Å³/cell) = 90.80
- energy above the most stable polymorph in this dataset (meV/atom) = 705

Geometry as POSCAR:
```
CuSiPt3
1.0
4.495 0.000 0.000
0.000 4.495 0.000
0.000 0.000 4.495
Cu Pt Si
1 3 1
Direct
0.500 0.500 0.500
0.500 0.000 0.000
0.000 0.500 0.000
0.000 0.000 0.500
0.000 0.000 0.000
```

Record 4
CuSi2Pt2 | PBE-GGA | relaxed

- space-group type = I4/mmm (139)
- formation energy without anion corrections (kcal/mol of atoms) = -7.12
- VASP energy (eV per atom) = -5.714
- V (Å³/cell) = 78.71
- energy above the most stable polymorph in this dataset (meV/atom) = 123

Geometry as POSCAR:
```
CuSi2Pt2
1.0
3.699 0.000 0.000
0.000 3.699 0.000
1.850 1.850 5.752
Cu Pt Si
1 2 2
Direct
0.000 0.000 0.000
0.382 0.382 0.236
0.618 0.618 0.764
0.250 0.750 0.500
0.750 0.250 0.500
```